Record 1
Density functional theory data (PBE-GGA) for MoPRuCl2 after structural relaxation.

Structure (extended XYZ):
```
5
Lattice="4.913 0.000 0.000 0.000 4.913 0.000 0.000 0.000 4.483" Properties=species:S:1:pos:R:3 pbc="T T T"
Mo 0.000 0.000 0.000
P 2.456 2.456 0.000
Ru 2.456 2.456 2.241
Cl 0.000 2.456 2.241
Cl 2.456 0.000 2.241
```

- size of the total moment (Bohr magnetons per cell) = 4.5
- Fermi-level density of states (states/eV/cell) = 2.97
- polymorph energy (0 for the lowest one) (meV per atom) = 0
- formation energy (no corrections) (eV per formula unit) = 4.1

=====

Record 2
Density functional theory data (PBE-GGA) for MoP2SCl after structural relaxation.

Structure (extended XYZ):
```
5
Lattice="4.440 0.000 0.000 0.000 4.440 0.000 0.000 0.000 4.668" Properties=species:S:1:pos:R:3 pbc="T T T"
Mo 0.000 0.000 0.000
P 0.000 2.220 2.334
P 2.220 0.000 2.334
S 2.220 2.220 0.000
Cl 2.220 2.220 2.334
```

- size of the total moment (Bohr magnetons per cell) = 2.0
- Fermi-level density of states (states/eV/cell) = 1.50
- polymorph energy (0 for the lowest one) (meV per atom) = 1186
- formation energy (no corrections) (eV per formula unit) = 7.4

=====

Record 3
Density functional theory data (PBE-GGA) for MoP2SCl after structural relaxation.

Structure (extended XYZ):
```
5
Lattice="4.757 0.000 0.000 0.000 4.757 0.000 0.000 0.000 4.575" Properties=species:S:1:pos:R:3 pbc="T T T"
Mo 0.000 0.000 0.000
P 0.000 2.378 0.000
P 2.378 0.000 0.000
S 2.378 2.378 2.287
Cl 0.000 0.000 2.287
```

- size of the total moment (Bohr magnetons per cell) = 0.0
- Fermi-level density of states (states/eV/cell) = 4.83
- polymorph energy (0 for the lowest one) (meV per atom) = 263
- formation energy (no corrections) (eV per formula unit) = 2.8

=====

Record 4
Density functional theory data (PBE-GGA) for MoP2SCl after structural relaxation.

Structure (extended XYZ):
```
5
Lattice="4.766 0.000 0.000 0.000 4.766 0.000 0.000 0.000 4.554" Properties=species:S:1:pos:R:3 pbc="T T T"
Mo 0.000 0.000 0.000
P 0.000 2.383 0.000
P 2.383 0.000 0.000
S 0.000 0.000 2.277
Cl 2.383 2.383 2.277
```

- size of the total moment (Bohr magnetons per cell) = 0.0
- Fermi-level density of states (states/eV/cell) = 2.91
- polymorph energy (0 for the lowest one) (meV per atom) = 0
- formation energy (no corrections) (eV per formula unit) = 1.4

=====

What did the fourth record say?
Density functional theory data (PBE-GGA) for MoP2SCl after structural relaxation.

Structure (extended XYZ):
```
5
Lattice="4.766 0.000 0.000 0.000 4.766 0.000 0.000 0.000 4.554" Properties=species:S:1:pos:R:3 pbc="T T T"
Mo 0.000 0.000 0.000
P 0.000 2.383 0.000
P 2.383 0.000 0.000
S 0.000 0.000 2.277
Cl 2.383 2.383 2.277
```

- size of the total moment (Bohr magnetons per cell) = 0.0
- Fermi-level density of states (states/eV/cell) = 2.91
- polymorph energy (0 for the lowest one) (meV per atom) = 0
- formation energy (no corrections) (eV per formula unit) = 1.4